This record from the Alexandria database describes a relaxed structure of Sc4AgOs3. The functional is PBE.

- calculated volume (Å³ per atom) = 17.30
- formation energy (eV/atom) = -0.382
- total magnetic moment (μB/f.u.) = 0.0

Lattice parameters (Å, degrees): 4.585 4.585 6.585 90.00 90.00 90.00
Positions (direct):
Sc1 0.000 0.500 0.237
Sc2 0.000 0.500 0.763
Sc3 0.500 0.000 0.237
Sc4 0.500 0.000 0.763
Ag1 0.000 0.000 0.500
Os1 0.000 0.000 0.000
Os2 0.500 0.500 0.000
Os3 0.500 0.500 0.500